Record 1
Entry from Alexandria: AgBi2PtF after structural relaxation (GGA-PBE).

- total magnetization (μB/cell) = 0.000
- DOS(E_F) (states/eV/f.u.) = 1.664
- formation energy from raw total energies (eV/atom) = -0.1015

a = 5.514 Å, b = 5.514 Å, c = 4.118 Å
α = 90.00°, β = 90.00°, γ = 90.00°
Space group P4/mmm (No. 123)
Symmetry-distinct sites (fractional):
Ag 0.000 0.000 0.000
Bi 0.000 0.500 0.500
Pt 0.500 0.500 0.500
F 0.500 0.500 0.000


Record 2
Entry from Alexandria: Rb2AgBiF6 after structural relaxation (GGA-PBE).

- total magnetization (μB/cell) = 0.000
- DOS(E_F) (states/eV/f.u.) = 0.000
- formation energy from raw total energies (eV/atom) = -2.2934

a = 6.660 Å, b = 9.371 Å, c = 6.681 Å
α = 90.00°, β = 90.00°, γ = 90.00°
Space group Pmmn (No. 59, origin choice 2)
Symmetry-distinct sites (fractional):
Rb 0.250 0.010 0.229
Ag 0.250 0.250 0.738
Bi 0.250 0.750 0.759
F 0.010 0.250 0.464
F 0.019 0.750 0.006
F 0.250 0.509 0.785


Record 3
Entry from Alexandria: Rb2AgBiF6 after structural relaxation (GGA-PBE).

- total magnetization (μB/cell) = 0.000
- DOS(E_F) (states/eV/f.u.) = 0.000
- formation energy from raw total energies (eV/atom) = -2.2922

a = 9.413 Å, b = 9.413 Å, c = 9.413 Å
α = 90.00°, β = 90.00°, γ = 90.00°
Space group Fm-3m (No. 225)
Symmetry-distinct sites (fractional):
Rb 0.250 0.250 0.250
Ag 0.000 0.000 0.000
Bi 0.000 0.000 0.500
F 0.000 0.000 0.259


Record 4
Entry from Alexandria: Rb3Ag2BiF9 after structural relaxation (GGA-PBE).

- total magnetization (μB/cell) = 0.657
- DOS(E_F) (states/eV/f.u.) = 6.036
- formation energy from raw total energies (eV/atom) = -2.1507

a = 6.4609 Å, b = 6.4609 Å, c = 8.1422 Å
α = 90.00°, β = 90.00°, γ = 120.00°
Space group P-3m1 (No. 164)
Symmetry-distinct sites (fractional):
Rb 0.0000 0.0000 0.0000
Rb 0.3333 0.6667 0.7197
Ag 0.3333 0.6667 0.1633
Bi 0.0000 0.0000 0.5000
F 0.0000 0.5000 0.0000
F 0.1614 0.3227 0.3332


What are the ρ values for these records? In order: 9816, 4792, 4793, 4807 kg/m³.